DFT (PBE) results for a relaxed structure of K3Na3Sr.

Structure (CIF):
```
data_K3Na3Sr
_chemical_formula_sum 'K6 Na6 Sr2'
_symmetry_space_group_name_H-M 'P m -3 n'
_symmetry_Int_Tables_number 223
_symmetry_space_group_name_Hall '-P 4n 2 3'
_cell_length_a 9.8390
_cell_length_b 9.8390
_cell_length_c 9.8390
_cell_angle_alpha 90.00
_cell_angle_beta 90.00
_cell_angle_gamma 90.00
loop_
_atom_site_label
_atom_site_fract_x
_atom_site_fract_y
_atom_site_fract_z
_atom_site_occupancy
K1 0.0000 0.2500 0.5000 1
Na1 0.0000 0.5000 0.2500 1
Sr1 0.0000 0.0000 0.0000 1
```

Its density is 1.0 g/cm³. Its energy of formation from the pure elements is 345 meV/atom.